Entry 1:
Here is LaPuTe2 after structural relaxation from Alexandria via LeMat-Bulk. Energies are from GGA-PBE.

The space group is Fm-3m (No. 225) and the conventional cell measures 7.7785, 7.7785 and 7.7785 Å, with angles of 90.00, 90.00 and 90.00 degrees. Symmetry generates all atoms from La at (0.0000, 0.0000, 0.0000), Pu at (0.0000, 0.0000, 0.5000) and Te at (0.2500, 0.2500, 0.2500).

Its volume is 470.6 Å³ per cell. The raw formation energy is -1.204 eV/atom. The calculation puts the total energy at -7.589 eV per atom.

=====

Entry 2:
Here is Ac4La3Tb after structural relaxation from Alexandria via LeMat-Bulk. Energies are from GGA-PBE.

The space group is Immm (No. 71) and the conventional cell measures 3.7380, 12.3850 and 14.1197 Å, with angles of 90.00, 90.00 and 90.00 degrees. Symmetry generates all atoms from Ac at (0.0000, 0.2487, 0.1316), La at (0.0000, 0.0000, 0.5000), La at (0.0000, 0.5000, 0.2663) and Tb at (0.0000, 0.0000, 0.0000).

The energy relative to the elements is 123 meV per atom. Its volume is 653.7 Å³ per cell. The calculation puts the total energy at -4.358 eV per atom.